# 1
5
Lattice="4.6352 0.0000 0.0000 0.0000 4.6352 0.0000 0.0000 0.0000 4.6352" Properties=species:S:1:pos:R:3 comment="Ge3PRu PBE optimized geometry" de_polymorph_mev_per_atom=630.9 ef_mev_per_atom=1086 pbc="T T T"
Ru 2.3176 2.3176 2.3176
Ge 0.0000 2.3176 0.0000
Ge 0.0000 0.0000 2.3176
Ge 2.3176 0.0000 0.0000
P 0.0000 0.0000 0.0000

# 2
14
Lattice="-1.2867 -6.6864 1.1254 0.7213 2.4263 -5.9211 5.1577 -0.2417 4.4613" Properties=species:S:1:pos:R:3 comment="HoCdPdO4 PBE optimized geometry" e_form_raw_ev_per_atom=-1.64 pbc="T T T"
Ho 1.9355 -3.4640 2.7933
Ho -0.6433 -3.3432 0.5627
Cd 0.1597 -4.1000 -3.0160
Cd 4.4327 -0.4017 2.6815
Pd 2.2962 -2.2509 -0.1672
Pd 2.9395 1.0923 -0.7299
O 3.0987 -4.0035 0.9177
O 0.9588 -1.9911 1.3930
O 0.4094 -4.8458 1.8735
O 1.0156 -3.9059 -0.8841
O 3.5767 -0.5958 0.5497
O 3.6336 -2.5107 -1.7275
O 4.1830 0.3441 -2.2080
O 1.4936 -0.4982 -1.2522

# 3
4
Lattice="-3.6071 0.9213 -0.9763 -1.1388 -3.5822 0.8271 -1.3646 2.0431 6.9701" Properties=species:S:1:pos:R:3 comment="BaAl2Sb PBE optimized geometry" e_form_raw_ev_per_atom=-0.21 pbc="T T T"
Sb -3.4860 0.3360 5.6106
Ba -0.6703 1.0036 3.4240
Al -0.0179 0.0267 0.0912
Al -2.6186 -0.9627 1.1801

# 4
4
Lattice="5.4628 -0.0149 0.0000 -2.6817 4.7592 0.0000 0.0000 0.0000 2.7491" Properties=species:S:1:pos:R:3 comment="Sc2ReW PBE optimized geometry" de_polymorph_mev_per_atom=295.4 ef_mev_per_atom=239 pbc="T T T"
Re -1.3409 2.3796 1.3745
Sc 0.0000 0.0000 0.0000
Sc 1.3905 2.3722 0.0000
W 2.7314 -0.0075 1.3745

# 5
4
Lattice="-0.8438 1.9196 1.5794 -1.2665 -2.1814 0.7274 5.7938 -1.6591 5.1119" Properties=species:S:1:pos:R:3 comment="TaCr2Co PBE optimized geometry" de_polymorph_mev_per_atom=143.8 ef_mev_per_atom=152 pbc="T T T"
Co 3.4156 -1.4111 5.0980
Cr 5.7525 -1.6473 5.0754
Cr 0.2665 -0.5094 2.3195
Ta 2.9397 -0.8418 2.5936

# 6
16
Lattice="8.3245 0.0000 0.0000 0.0000 8.5455 0.1511 -4.1623 -4.1587 5.8882" Properties=species:S:1:pos:R:3 comment="Tb8BTe4Se3 PBE optimized geometry" e_form_raw_ev_per_atom=-1.43 pbc="T T T"
Tb -2.2646 1.9431 5.9143
Tb 0.0000 4.2058 2.7116
Tb 0.0000 0.2281 3.1018
Tb 2.2646 1.9431 5.9143
Tb 1.8977 2.4437 0.1250
Tb 4.1623 4.1588 2.9375
Tb 4.1623 0.1810 3.3276
Tb 6.4269 2.4437 0.1250
B 0.0000 4.2727 0.0755
Te 4.1623 0.0000 0.0000
Te 2.0811 -2.0793 2.9441
Te 0.0000 0.0000 0.0000
Te -2.0811 -2.0793 2.9441
Se 4.1623 4.2727 0.0755
Se 2.0811 2.1934 3.0196
Se -2.0811 2.1934 3.0196

# 7
5
Lattice="-4.0111 -1.2726 -0.6506 1.3654 -2.8388 -2.8651 0.4111 -2.8291 2.9990" Properties=species:S:1:pos:R:3 comment="TlRuN2O PBE optimized geometry" e_form_raw_ev_per_atom=2.26 pbc="T T T"
Ru -1.1173 -3.4702 -0.2584
Tl 0.0000 0.0000 0.0000
O 0.2056 -1.4146 1.4995
N 0.6827 -1.4194 -1.4326
N -2.0056 -0.6363 -0.3253

# 8
5
Lattice="5.6275 0.0000 0.0000 0.0000 5.6275 0.0000 2.8138 2.8138 5.2350" Properties=species:S:1:pos:R:3 comment="Sr2TeAu2 PBE optimized geometry" e_form_raw_ev_per_atom=-0.78 de_polymorph_mev_per_atom=138.6 pbc="T T T"
Sr 5.6275 2.8138 2.6175
Sr 2.8138 5.6275 2.6175
Te 0.0000 0.0000 0.0000
Au 2.8138 2.8138 1.3419
Au 5.6275 5.6275 3.8932